No. 1
Ca2AcPrS4: optimized geometry, PBE.

## Properties
Calculated volume   24.9 Å³ per atom
E   -45.7 eV per formula unit
Total magnetic moment   0.000 μB per atom
ΔE_f (raw)   -2.0362 eV/atom

```
data_Ca2AcPrS4
_chemical_formula_sum 'Ca2 Ac1 Pr1 S4'
_cell_length_a 7.100
_cell_length_b 4.103
_cell_length_c 7.231
_cell_angle_alpha 90.00
_cell_angle_beta 109.11
_cell_angle_gamma 90.00
_symmetry_space_group_name_H-M 'P 1 2/m 1'
_symmetry_Int_Tables_number 10
_symmetry_space_group_name_Hall '-P 2y'
loop_
_atom_site_label
_atom_site_type_symbol
_atom_site_fract_x
_atom_site_fract_y
_atom_site_fract_z
Ca1 Ca 0.000 0.000 0.000
Ca2 Ca 0.500 0.500 0.000
Ac1 Ac 0.000 0.500 0.500
Pr1 Pr 0.500 0.000 0.500
S1 S 0.251 0.500 0.238
S2 S 0.261 0.000 0.767
```

No. 2
AlHgMo2: optimized geometry, PBE.

## Properties
Calculated volume   16.7 Å³ per atom
Distance to the lowest polymorph of the same formula   0.747 eV per formula unit
E   -24.4 eV per formula unit
Total magnetic moment   0.000 μB per atom
ΔE_f   0.337 eV/atom

```
data_AlHgMo2
_chemical_formula_sum 'Al2 Hg2 Mo4'
_cell_length_a 3.889
_cell_length_b 3.889
_cell_length_c 8.856
_cell_angle_alpha 90.00
_cell_angle_beta 90.00
_cell_angle_gamma 90.00
_symmetry_space_group_name_H-M 'I 4/m m m'
_symmetry_Int_Tables_number 139
_symmetry_space_group_name_Hall '-I 4 2'
loop_
_atom_site_label
_atom_site_type_symbol
_atom_site_fract_x
_atom_site_fract_y
_atom_site_fract_z
Al1 Al 0.000 0.000 0.000
Hg1 Hg 0.000 0.000 0.500
Mo1 Mo 0.000 0.500 0.250
```

No. 3
Ac2GaGe4Pt3: optimized geometry, PBE.

## Properties
Calculated volume   20.9 Å³ per atom
E   -56.5 eV per formula unit
Total magnetic moment   0.000 μB per atom
ΔE_f   -0.868 eV/atom

```
data_Ac2GaGe4Pt3
_chemical_formula_sum 'Ac2 Ga1 Ge4 Pt3'
_cell_length_a 4.488
_cell_length_b 4.488
_cell_length_c 10.372
_cell_angle_alpha 90.00
_cell_angle_beta 90.00
_cell_angle_gamma 90.00
_symmetry_space_group_name_H-M 'P -4 m 2'
_symmetry_Int_Tables_number 115
_symmetry_space_group_name_Hall 'P -4 -2'
loop_
_atom_site_label
_atom_site_type_symbol
_atom_site_fract_x
_atom_site_fract_y
_atom_site_fract_z
Ac1 Ac 0.000 0.500 0.248
Ga1 Ga 0.000 0.000 0.500
Ge1 Ge 0.000 0.000 0.000
Ge2 Ge 0.000 0.500 0.635
Ge3 Ge 0.500 0.500 0.000
Pt1 Pt 0.000 0.500 0.879
Pt2 Pt 0.500 0.500 0.500
```

No. 4
YTaAu2: optimized geometry, PBE.

## Properties
Calculated volume   23.2 Å³ per atom
Distance to the lowest polymorph of the same formula   1.350 eV per formula unit
E   -24.5 eV per formula unit
Total magnetic moment   0.000 μB per atom
ΔE_f   0.092 eV/atom

```
data_YTaAu2
_chemical_formula_sum 'Y4 Ta4 Au8'
_cell_length_a 7.540
_cell_length_b 7.540
_cell_length_c 6.526
_cell_angle_alpha 90.00
_cell_angle_beta 90.00
_cell_angle_gamma 90.00
_symmetry_space_group_name_H-M 'I -4 2 d'
_symmetry_Int_Tables_number 122
_symmetry_space_group_name_Hall 'I -4 2bw'
loop_
_atom_site_label
_atom_site_type_symbol
_atom_site_fract_x
_atom_site_fract_y
_atom_site_fract_z
Y1 Y 0.000 0.000 0.000
Ta1 Ta 0.000 0.000 0.500
Au1 Au 0.214 0.250 0.625
```

No. 5
Na2CaGa3F12: optimized geometry, PBE.

## Properties
Calculated volume   15.6 Å³ per atom
E   -85.3 eV per formula unit
Total magnetic moment   0.000 μB per atom
ΔE_f (raw)   -2.7277 eV/atom

```
data_Na2CaGa3F12
_chemical_formula_sum 'Na6 Ca3 Ga9 F36'
_cell_length_a 7.5576
_cell_length_b 7.5576
_cell_length_c 17.0171
_cell_angle_alpha 90.00
_cell_angle_beta 90.00
_cell_angle_gamma 120.00
_symmetry_space_group_name_H-M 'R -3 m'
_symmetry_Int_Tables_number 166
_symmetry_space_group_name_Hall '-R 3 2"'
loop_
_atom_site_label
_atom_site_type_symbol
_atom_site_fract_x
_atom_site_fract_y
_atom_site_fract_z
Na1 Na 0.0000 0.0000 0.1632
Ca1 Ca 0.0000 0.0000 0.5000
Ga1 Ga 0.0000 0.5000 0.0000
F1 F 0.0093 0.5047 0.8852
F2 F 0.0852 0.5426 0.3260
```

No. 6
Ti2AlRh3: optimized geometry, PBE.

## Properties
Calculated volume   14.5 Å³ per atom
E   -47.0 eV per formula unit
Total magnetic moment   0.000 μB per atom
ΔE_f   -0.897 eV/atom

```
data_Ti2AlRh3
_chemical_formula_sum 'Ti4 Al2 Rh6'
_cell_length_a 4.3271
_cell_length_b 4.3271
_cell_length_c 10.7580
_cell_angle_alpha 90.00
_cell_angle_beta 90.00
_cell_angle_gamma 120.00
_symmetry_space_group_name_H-M 'P -3 m 1'
_symmetry_Int_Tables_number 164
_symmetry_space_group_name_Hall '-P 3 2"'
loop_
_atom_site_label
_atom_site_type_symbol
_atom_site_fract_x
_atom_site_fract_y
_atom_site_fract_z
Ti1 Ti 0.0000 0.0000 0.0000
Ti2 Ti 0.0000 0.0000 0.5000
Ti3 Ti 0.3333 0.6667 0.1671
Al1 Al 0.3333 0.6667 0.6630
Rh1 Rh 0.0000 0.0000 0.2558
Rh2 Rh 0.3333 0.6667 0.4186
Rh3 Rh 0.3333 0.6667 0.9029
```

No. 7
LaFeRu2: optimized geometry, PBE.

## Properties
Calculated volume   17.2 Å³ per atom
Distance to the lowest polymorph of the same formula   1.918 eV per formula unit
E   -29.7 eV per formula unit
Total magnetic moment   0.852 μB per atom
ΔE_f   0.562 eV/atom

```
data_LaFeRu2
_chemical_formula_sum 'La3 Fe3 Ru6'
_cell_length_a 2.9611
_cell_length_b 2.9611
_cell_length_c 27.1976
_cell_angle_alpha 90.00
_cell_angle_beta 90.00
_cell_angle_gamma 120.00
_symmetry_space_group_name_H-M 'R -3 m'
_symmetry_Int_Tables_number 166
_symmetry_space_group_name_Hall '-R 3 2"'
loop_
_atom_site_label
_atom_site_type_symbol
_atom_site_fract_x
_atom_site_fract_y
_atom_site_fract_z
La1 La 0.0000 0.0000 0.0000
Fe1 Fe 0.0000 0.0000 0.5000
Ru1 Ru 0.0000 0.0000 0.2359
```

No. 8
TaZn2Ir: optimized geometry, PBE.

## Properties
Calculated volume   15.6 Å³ per atom
E   -23.8 eV per formula unit
Total magnetic moment   0.000 μB per atom
ΔE_f   -0.124 eV/atom

```
data_TaZn2Ir
_chemical_formula_sum 'Ta1 Zn2 Ir1'
_cell_length_a 2.836
_cell_length_b 4.517
_cell_length_c 4.891
_cell_angle_alpha 90.00
_cell_angle_beta 95.23
_cell_angle_gamma 90.00
_symmetry_space_group_name_H-M 'P 1 2/m 1'
_symmetry_Int_Tables_number 10
_symmetry_space_group_name_Hall '-P 2y'
loop_
_atom_site_label
_atom_site_type_symbol
_atom_site_fract_x
_atom_site_fract_y
_atom_site_fract_z
Ta1 Ta 0.000 0.000 0.000
Zn1 Zn 0.368 0.500 0.746
Ir1 Ir 0.500 0.000 0.500
```